The following is a PBE-GGA calculation of an optimized crystal structure of YCdAu, from the Alexandria database.

Cell: 5.465 5.465 5.465 Å, 139.37 139.39 58.80°
Element x y z (fractional)
Au1 0.999 0.999 0.000
Cd1 0.340 0.340 0.000
Y1 0.661 0.661 0.000

* uncorrected energy: -4.09 eV/atom
* SG: I4mm (107)
* theoretical density: 9.65 Mg/m³
* DOS(E_F): 1.19 states/eV/f.u.
* calculated formation energy: -0.5418 eV/atom
* M_tot: 0.00 μB/f.u.

---

The following is a PBE-GGA calculation of an optimized crystal structure of SmIrO4, from the Alexandria database.

Cell: 5.141 5.412 6.243 Å, 107.37 114.32 90.00°
Site moments in Bohr magnetons follow the coordinates.
Element x y z (fractional)
O1 0.494 0.537 0.807  0.23
O2 0.123 0.654 0.337  0.05
O3 0.786 0.846 0.663  0.05
O4 0.214 0.154 0.337  0.05
O5 0.687 0.963 0.193  0.23
O6 0.877 0.346 0.663  0.05
O7 0.313 0.037 0.807  0.23
O8 0.506 0.463 0.193  0.23
Ir1 0.500 0.500 0.500  0.91
Ir2 0.000 0.000 0.500  0.91
Sm1 0.772 0.250 0.000  0.03
Sm2 0.228 0.750 0.000  0.03

* uncorrected energy: -7.33 eV/atom
* SG: C2/c (15)
* theoretical density: 9.03 Mg/m³
* ΔE_f (raw): -1756.4 meV/atom
* E above lowest polymorph: 98 meV/atom
* DOS(E_F): 3.43 states/eV/f.u.
* M_tot: 1.65 μB/f.u.

---

The following is a PBE-GGA calculation of an optimized crystal structure of PPdO2F, from the Alexandria database.

Cell: 4.020 4.020 4.020 Å, 90.00 90.00 90.00°
Site moments in Bohr magnetons follow the coordinates.
Element x y z (fractional)
P1 0.500 0.500 0.500  0.16
F1 0.000 0.000 0.500  0.01
O1 0.500 0.000 0.000  -0.04
O2 0.000 0.500 0.000  -0.04
Pd1 0.000 0.000 0.000  -0.02

* uncorrected energy: -4.26 eV/atom
* SG: P4/mmm (123)
* theoretical density: 4.82 Mg/m³
* ΔE_f (raw): 219.5 meV/atom
* DOS(E_F): 2.66 states/eV/f.u.
* M_tot: 0.23 μB/f.u.

---

The following is a PBE-GGA calculation of an optimized crystal structure of SrZn11Co, from the Alexandria database.

Cell: 5.020 6.944 6.867 Å, 82.81 68.56 69.97°
Element x y z (fractional)
Zn1 0.493 0.767 0.222
Zn2 0.500 0.000 0.500
Zn3 0.000 0.500 0.000
Zn4 0.716 0.767 0.778
Zn5 0.368 0.636 0.655
Zn6 0.977 0.364 0.655
Zn7 0.284 0.233 0.222
Zn8 0.000 0.000 0.500
Zn9 0.507 0.233 0.778
Zn10 0.632 0.364 0.345
Zn11 0.023 0.636 0.345
Sr1 0.000 0.000 0.000
Co1 0.500 0.500 0.000

* uncorrected energy: -1.87 eV/atom
* SG: C2/m (12)
* theoretical density: 6.87 Mg/m³
* DOS(E_F): 5.64 states/eV/f.u.
* calculated formation energy: -0.1143 eV/atom
* M_tot: 0.00 μB/f.u.